VASP calculation (PBE) on a relaxed Sr2InSe crystal.

The density of states at the Fermi level is 0.787 states/eV per atom. Its crystal system is tetragonal. As for the distance to the lowest polymorph of the same formula: 0.165 eV per atom.

The structure belongs to space group P4mm (No. 99); the cell edges are 4.2027, 4.2027 and 8.9845 Å and the angles 90.00°, 90.00° and 90.00°. Symmetry generates all atoms from Sr at (0.0000, 0.0000, 0.0000), Sr at (0.5000, 0.5000, 0.4157), In at (0.0000, 0.0000, 0.6109) and Se at (0.5000, 0.5000, 0.0817).

***

VASP calculation (PBE) on a relaxed SrInSe2 crystal.

The density of states at the Fermi level is 0.765 states/eV per atom. Its crystal system is trigonal.

The structure belongs to space group R3m (No. 160, hexagonal axes); the cell edges are 4.2679, 4.2679 and 22.1316 Å and the angles 90.00°, 90.00° and 120.00°. Symmetry generates all atoms from Sr at (0.0000, 0.0000, 0.0000), In at (0.0000, 0.0000, 0.8327), Se at (0.0000, 0.0000, 0.2458) and Se at (0.0000, 0.0000, 0.4222).

***

VASP calculation (PBE) on a relaxed SrInSe crystal.

The density of states at the Fermi level is 0.118 states/eV per atom. Its crystal system is tetragonal. As for the distance to the lowest polymorph of the same formula: 0.000 eV per atom.

The structure belongs to space group I4mm (No. 107); the cell edges are 4.2784, 4.2784 and 12.4404 Å and the angles 90.00°, 90.00° and 90.00°. Symmetry generates all atoms from Sr at (0.0000, 0.0000, 0.0000), In at (0.0000, 0.0000, 0.2794) and Se at (0.0000, 0.0000, 0.5032).

***

VASP calculation (PBE) on a relaxed SrInSe2 crystal.

Its crystal system is triclinic.

The structure belongs to space group P1 (No. 1); the cell edges are 4.2546, 7.8715 and 8.8528 Å and the angles 115.40°, 92.75° and 99.40°. Symmetry generates all atoms from Sr at (0.0000, 0.0000, 0.0000), Sr at (0.2218, 0.6024, 0.3632), In at (0.7329, 0.1735, 0.5753), In at (0.7604, 0.4646, 0.9045), Se at (0.2131, 0.2064, 0.4067), Se at (0.3661, 0.7158, 0.0464), Se at (0.6275, 0.3189, 0.1203) and Se at (0.7957, 0.8631, 0.6156).

***

VASP calculation (PBE) on a relaxed Sr2InSe crystal.

The density of states at the Fermi level is 0.647 states/eV per atom. Its crystal system is tetragonal. As for the distance to the lowest polymorph of the same formula: 0.293 eV per atom.

The structure belongs to space group I-4m2 (No. 119); the cell edges are 4.6158, 4.6158 and 12.6787 Å and the angles 90.00°, 90.00° and 90.00°. Symmetry generates all atoms from Sr at (0.0000, 0.0000, 0.0000), Sr at (0.0000, 0.5000, 0.2500), In at (0.0000, 0.5000, 0.7500) and Se at (0.0000, 0.0000, 0.5000).

***

VASP calculation (PBE) on a relaxed SrIn6Se8 crystal.

The density of states at the Fermi level is 0.732 states/eV per atom. Its crystal system is trigonal.

The structure belongs to space group R-3 (No. 148, hexagonal axes); the cell edges are 11.0572, 11.0572 and 12.5381 Å and the angles 90.00°, 90.00° and 120.00°. Symmetry generates all atoms from Sr at (0.0000, 0.0000, 0.0000), In at (0.0133, 0.7677, 0.3675), Se at (0.0000, 0.0000, 0.3067) and Se at (0.0425, 0.4496, 0.7701).

***

no.,formation energy from raw total energies (meV/atom)
1,-915
2,-1069
3,-912
4,-1201
5,-786
6,-588